Computed, not measured: a geometry-optimized BaHg5 structure at the GGA-PBEsol level of DFT.

Space-group type: C2/m, No. 12
Total moment: 0.000 μB per cell
Density of states at the Fermi level: 2.302 states/eV/cell
Energy relative to the elements: -352 meV per atom
Energy: -1.18 eV/atom
Crystal system: monoclinic

POSCAR file:
```
BaHg5
1.0
-1.857 -4.164 -2.389
0.907 -0.155 5.109
-6.442 2.510 0.634
Hg Ba
5 1
direct
0.682 0.363 0.278 Hg
0.318 0.637 0.722 Hg
0.351 0.701 0.276 Hg
0.000 0.000 0.500 Hg
0.649 0.299 0.724 Hg
0.000 0.000 0.000 Ba
```

***

Computed, not measured: a geometry-optimized BaHg2 structure at the GGA-PBEsol level of DFT.

Space-group type: Immm, No. 71
Total moment: 0.000 μB per cell
Density of states at the Fermi level: 3.812 states/eV/cell
Energy relative to the elements: -472 meV per atom
Energy: -1.57 eV/atom
Crystal system: orthorhombic

POSCAR file:
```
BaHg2
1.0
4.408 0.000 0.000
0.000 6.822 -0.034
-2.204 -3.380 6.291
Hg Ba
4 2
direct
0.000 0.766 0.000 Hg
0.376 0.876 0.752 Hg
0.000 0.234 0.000 Hg
0.624 0.124 0.248 Hg
0.666 0.666 0.332 Ba
0.334 0.334 0.668 Ba
```

***

Computed, not measured: a geometry-optimized BaHg3 structure at the GGA-PBEsol level of DFT.

Space-group type: Pm-3m, No. 221
Total moment: 0.001 μB per cell
Density of states at the Fermi level: 3.176 states/eV/cell
Energy relative to the elements: -376 meV per atom
Energy: -1.34 eV/atom
Crystal system: cubic

POSCAR file:
```
BaHg3
1.0
4.889 0.000 0.000
0.000 4.889 0.000
0.000 0.000 4.889
Hg Ba
3 1
direct
0.000 0.500 0.500 Hg
0.500 0.000 0.500 Hg
0.500 0.500 0.000 Hg
0.000 0.000 0.000 Ba
```

***

Question: What is the energy in the first record?
Answer: -1.18 eV/atom

***

Question: Among the records above, which one has the highest density of states at the Fermi level?
Answer: BaHg2

***

Question: Look up the energy of the third one.
Answer: -1.34 eV/atom